DFT (PBE with a Hubbard U) results for an optimized crystal structure of NaFeMoF6.

Results
DFT total energy = -5.276 eV/atom

Cell: 5.5869 5.5869 9.6443 Å, 90.00 90.00 120.00°
Space group P-31c (No. 163)
Unique sites:
Na1 0.0000 0.0000 0.0000 [2 per cell]
Fe1 0.3333 0.6667 0.2500 [2 per cell]
Mo1 0.3333 0.6667 0.7500 [2 per cell]
F1 0.0000 0.3524 0.1378 [12 per cell]

DFT (PBE with a Hubbard U) results for an optimized crystal structure of FeMoO2F.

Results
DFT total energy = -5.511 eV/atom

Cell: 3.9317 3.9317 3.7515 Å, 90.00 90.00 90.00°
Space group P4/mmm (No. 123)
Unique sites:
Fe1 0.0000 0.0000 0.0000 [1 per cell]
Mo1 0.5000 0.5000 0.5000 [1 per cell]
O1 0.0000 0.5000 0.0000 [2 per cell]
F1 0.0000 0.0000 0.5000 [1 per cell]

Question: What is the DFT total energy in the second record?
Answer: -5.511 eV/atom